Below is a relaxed DyYTe2 crystal, with properties calculated at the PBE level.

Properties
For the energy above the most stable polymorph in this dataset, the calculation gives 187 meV/atom. The value obtained for the total moment is 0.5 μB per cell.

Cell: 7.6608 7.6608 4.0600 Å, 90.00 90.00 90.00°
With the nearest neighbours (Å) after each atom.
Sites, in units of the cell vectors:
Dy1 0.0000 0.0000 0.0000  4 Te 3.05
Dy2 0.5000 0.5000 0.0000  4 Te 3.05
Y1 0.0000 0.5000 0.1736  6 Te 3.09-3.13
Y2 0.5000 0.0000 0.8264  6 Te 3.09-3.13
Te1 0.2171 0.2829 0.6679  2 Dy 3.05, 3 Y 3.09-3.13
Te2 0.2829 0.7829 0.3321  2 Dy 3.05, 3 Y 3.09-3.13
Te3 0.7171 0.2171 0.3321  2 Dy 3.05, 3 Y 3.09-3.13
Te4 0.7829 0.7171 0.6679  2 Dy 3.05, 3 Y 3.09-3.13